# 1
DFT (PBE) results for a relaxed structure of BaY3Ag.

a = 5.684 Å, b = 5.684 Å, c = 5.684 Å
α = 90.00°, β = 90.00°, γ = 90.00°
Positions (direct):
Ba 0.000 0.000 0.000
Y 0.000 0.000 0.500
Y 0.000 0.500 0.000
Y 0.500 0.000 0.000
Ag 0.500 0.500 0.500

Output
crystal system	cubic
ΔE_f	1.17	eV per atom
space group	Pm-3m

***

# 2
DFT (PBE) results for a relaxed structure of Ba2YAg.

a = 5.084 Å, b = 5.084 Å, c = 12.011 Å
α = 90.00°, β = 90.00°, γ = 90.00°
Positions (direct):
Ba 0.000 0.000 0.000
Ba 0.000 0.500 0.250
Ba 0.500 0.000 0.750
Ba 0.500 0.500 0.500
Y 0.000 0.500 0.750
Y 0.500 0.000 0.250
Ag 0.000 0.000 0.500
Ag 0.500 0.500 0.000

Output
crystal system	tetragonal
ΔE_f	0.25	eV per atom
space group	I-4m2
relative energy among the computed polymorphs	285.5	meV/atom

***

# 3
DFT (PBE) results for a relaxed structure of BaY2Ag.

a = 4.862 Å, b = 4.862 Å, c = 5.579 Å
α = 90.00°, β = 90.00°, γ = 90.00°
Positions (direct):
Ba 0.000 0.000 0.000
Y 0.000 0.500 0.500
Y 0.500 0.000 0.500
Ag 0.500 0.500 0.000

Output
crystal system	tetragonal
ΔE_f	0.20	eV per atom
space group	P4/mmm
relative energy among the computed polymorphs	247.2	meV/atom

***

# 4
DFT (PBE) results for a relaxed structure of BaY2Ag.

a = 3.913 Å, b = 5.652 Å, c = 11.813 Å
α = 90.00°, β = 90.00°, γ = 90.00°
Positions (direct):
Ba 0.000 0.000 0.000
Ba 0.500 0.500 0.500
Y 0.000 0.000 0.420
Y 0.000 0.500 0.209
Y 0.500 0.000 0.709
Y 0.500 0.500 0.920
Ag 0.000 0.500 0.732
Ag 0.500 0.000 0.232

Output
crystal system	orthorhombic
ΔE_f	0.09	eV per atom
space group	Imm2
relative energy among the computed polymorphs	132.2	meV/atom

***

# 5
DFT (PBE) results for a relaxed structure of Ba2YAg.

a = 4.137 Å, b = 5.866 Å, c = 12.556 Å
α = 90.00°, β = 90.00°, γ = 90.00°
Positions (direct):
Ba 0.000 0.000 0.205
Ba 0.000 0.000 0.795
Ba 0.500 0.500 0.295
Ba 0.500 0.500 0.705
Y 0.000 0.500 0.000
Y 0.500 0.000 0.500
Ag 0.000 0.500 0.500
Ag 0.500 0.000 0.000

Output
crystal system	orthorhombic
ΔE_f	0.14	eV per atom
space group	Immm
relative energy among the computed polymorphs	180.7	meV/atom

***

# 6
DFT (PBE) results for a relaxed structure of Ba2YAg.

a = 9.727 Å, b = 9.727 Å, c = 6.983 Å
α = 90.00°, β = 90.00°, γ = 90.00°
Positions (direct):
Ba 0.194 0.250 0.125
Ba 0.250 0.694 0.375
Ba 0.250 0.806 0.875
Ba 0.306 0.250 0.625
Ba 0.694 0.750 0.625
Ba 0.750 0.194 0.875
Ba 0.750 0.306 0.375
Ba 0.806 0.750 0.125
Y 0.000 0.000 0.500
Y 0.000 0.500 0.750
Y 0.500 0.000 0.250
Y 0.500 0.500 0.000
Ag 0.000 0.000 0.000
Ag 0.000 0.500 0.250
Ag 0.500 0.000 0.750
Ag 0.500 0.500 0.500

Output
crystal system	tetragonal
ΔE_f	0.25	eV per atom
space group	I-42d
relative energy among the computed polymorphs	291.8	meV/atom

***

# 7
DFT (PBE) results for a relaxed structure of Ba2YAg.

a = 4.166 Å, b = 5.774 Å, c = 14.097 Å
α = 90.00°, β = 90.00°, γ = 90.00°
Positions (direct):
Ba 0.000 0.000 0.000
Ba 0.000 0.500 0.500
Ba 0.500 0.000 0.303
Ba 0.500 0.500 0.803
Y 0.000 0.000 0.690
Y 0.000 0.500 0.190
Ag 0.500 0.000 0.543
Ag 0.500 0.500 0.043

Output
crystal system	orthorhombic
ΔE_f	0.05	eV per atom
space group	Amm2
relative energy among the computed polymorphs	90.8	meV/atom

***

# 8
DFT (PBE) results for a relaxed structure of Ba2YAg.

a = 3.950 Å, b = 3.950 Å, c = 10.327 Å
α = 90.00°, β = 90.00°, γ = 90.00°
Positions (direct):
Ba 0.000 0.000 0.000
Ba 0.500 0.500 0.357
Y 0.000 0.000 0.648
Ag 0.500 0.500 0.779

Output
crystal system	tetragonal
ΔE_f	-0.04	eV per atom
space group	P4mm
relative energy among the computed polymorphs	0.0	meV/atom

***

# 9
DFT (PBE) results for a relaxed structure of Ba2YAg.

a = 4.047 Å, b = 4.047 Å, c = 9.833 Å
α = 90.00°, β = 90.00°, γ = 90.00°
Positions (direct):
Ba 0.000 0.000 0.207
Ba 0.000 0.000 0.793
Y 0.500 0.500 0.500
Ag 0.500 0.500 0.000

Output
crystal system	tetragonal
ΔE_f	0.06	eV per atom
space group	P4/mmm
relative energy among the computed polymorphs	101.8	meV/atom

***

# 10
DFT (PBE) results for a relaxed structure of Ba2YAg.

a = 4.142 Å, b = 4.142 Å, c = 33.846 Å
α = 90.00°, β = 90.00°, γ = 120.00°
Positions (direct):
Ba 0.000 0.000 0.238
Ba 0.000 0.000 0.762
Ba 0.333 0.667 0.428
Ba 0.333 0.667 0.905
Ba 0.667 0.333 0.095
Ba 0.667 0.333 0.572
Y 0.000 0.000 0.000
Y 0.333 0.667 0.667
Y 0.667 0.333 0.333
Ag 0.000 0.000 0.500
Ag 0.333 0.667 0.167
Ag 0.667 0.333 0.833

Output
crystal system	trigonal
ΔE_f	0.16	eV per atom
space group	R-3m
relative energy among the computed polymorphs	199.1	meV/atom

***

# 11
DFT (PBE) results for a relaxed structure of BaY2Ag.

a = 7.263 Å, b = 8.632 Å, c = 3.978 Å
α = 90.00°, β = 90.00°, γ = 90.00°
Positions (direct):
Ba 0.000 0.000 0.000
Ba 0.500 0.500 0.000
Y 0.250 0.250 0.500
Y 0.250 0.750 0.500
Y 0.750 0.250 0.500
Y 0.750 0.750 0.500
Ag 0.000 0.500 0.000
Ag 0.500 0.000 0.000

Output
crystal system	orthorhombic
ΔE_f	0.26	eV per atom
space group	Cmmm
relative energy among the computed polymorphs	301.5	meV/atom

***

# 12
DFT (PBE) results for a relaxed structure of BaY2Ag.

a = 8.071 Å, b = 8.071 Å, c = 8.071 Å
α = 90.00°, β = 90.00°, γ = 90.00°
Positions (direct):
Ba 0.000 0.000 0.000
Ba 0.000 0.500 0.500
Ba 0.500 0.000 0.500
Ba 0.500 0.500 0.000
Y 0.000 0.000 0.500
Y 0.000 0.500 0.000
Y 0.250 0.250 0.250
Y 0.250 0.750 0.750
Y 0.500 0.000 0.000
Y 0.500 0.500 0.500
Y 0.750 0.250 0.750
Y 0.750 0.750 0.250
Ag 0.250 0.250 0.750
Ag 0.250 0.750 0.250
Ag 0.750 0.250 0.250
Ag 0.750 0.750 0.750

Output
crystal system	cubic
ΔE_f	0.28	eV per atom
space group	F-43m
relative energy among the computed polymorphs	320.3	meV/atom